Ho2TiPbO6 after structural relaxation, computed with GGA-PBE.

Cell lengths 5.622, 5.366, 5.366 Å; angles 90.00, 90.00, 90.00 degrees
Element x y z (fractional)
O (0.753, 0.768, 0.232)
Ti (0.611, 0.000, 0.000)
Ho (0.958, 0.500, 0.000)
O (0.106, 0.500, 0.500)
O (0.753, 0.768, 0.768)
Pb (0.514, 0.500, 0.500)
O (0.753, 0.232, 0.232)
O (0.753, 0.232, 0.768)
Ho (0.958, 0.000, 0.500)
O (0.288, 0.000, 0.000)



Ho4TlPbO after structural relaxation, computed with GGA-PBE.

Cell lengths 6.464, 6.449, 9.055 Å; angles 90.00, 110.91, 90.00 degrees
Element x y z (fractional)
Ho (0.500, 0.000, 0.500)
Ho (0.500, 0.500, 0.500)
Tl (0.113, 0.250, 0.226)
Pb (0.609, 0.750, 0.217)
Ho (0.000, 0.500, 0.500)
Ho (0.000, 0.000, 0.500)
O (0.726, 0.250, 0.451)
Ho (0.584, 0.250, 0.167)
O (0.274, 0.750, 0.549)
Tl (0.887, 0.750, 0.774)
Pb (0.391, 0.250, 0.783)
Ho (0.416, 0.750, 0.833)
Ho (0.932, 0.250, 0.864)
Ho (0.068, 0.750, 0.136)



Ho2UPbO8 after structural relaxation, computed with GGA-PBE.

Cell lengths 5.054, 5.053, 7.007 Å; angles 90.00, 90.00, 92.48 degrees
Element x y z (fractional)
O (0.705, 0.706, 0.000)
U (0.000, 0.000, 0.000)
O (0.702, 0.702, 0.500)
O (0.188, 0.811, 0.767)
Ho (0.500, 0.500, 0.251)
Pb (0.000, 0.000, 0.500)
O (0.812, 0.189, 0.233)
O (0.298, 0.298, 0.500)
O (0.295, 0.294, 0.000)
Ho (0.500, 0.500, 0.749)
O (0.188, 0.811, 0.233)
O (0.812, 0.189, 0.767)



HoUPb2O6 after structural relaxation, computed with GGA-PBE.

Cell lengths 6.014, 6.122, 8.592 Å; angles 90.00, 89.91, 90.00 degrees
Element x y z (fractional)
O (0.294, 0.695, 0.045)
U (0.000, 0.500, 0.000)
O (0.206, 0.195, 0.455)
O (0.706, 0.305, 0.955)
O (0.794, 0.805, 0.545)
O (0.592, 0.023, 0.256)
Ho (0.500, 0.000, 0.000)
O (0.908, 0.523, 0.244)
Pb (0.994, 0.028, 0.749)
O (0.192, 0.208, 0.048)
O (0.692, 0.292, 0.548)
Pb (0.506, 0.528, 0.751)
O (0.408, 0.977, 0.744)
Pb (0.006, 0.972, 0.251)
U (0.500, 0.000, 0.500)
O (0.808, 0.792, 0.952)
O (0.308, 0.708, 0.452)
Pb (0.494, 0.472, 0.249)
O (0.092, 0.477, 0.756)
Ho (0.000, 0.500, 0.500)



Number 1: ρ 7.0 g cm⁻³, formation energy without anion corrections -2.6406 eV per atom. Number 2: ρ 10.2 g cm⁻³, formation energy without anion corrections -1.1093 eV per atom. Number 3: ρ 8.4 g cm⁻³, formation energy without anion corrections -2.7490 eV per atom. Number 4: ρ 9.6 g cm⁻³, formation energy without anion corrections -2.4964 eV per atom.